VASP calculation (PBE-GGA) on a geometry-optimized GdPuPaIn structure.

Unit cell a=7.4529 b=7.4529 c=7.4529 alpha=90.00 beta=90.00 gamma=90.00
Last column: nearest neighbours and their distance in Å.
Space group F-43m (No. 216)
Asymmetric unit:
Gd (0.0000, 0.0000, 0.0000) (multiplicity 4)  4 Pa 3.23, 4 In 3.23
Pu (0.0000, 0.0000, 0.5000) (multiplicity 4)  4 In 3.23, 4 Pa 3.23
Pa (0.2500, 0.2500, 0.2500) (multiplicity 4)  4 Pu 3.23, 4 Gd 3.23
In (0.2500, 0.2500, 0.7500) (multiplicity 4)  4 Gd 3.23, 4 Pu 3.23

Results
- Spin magnetization: 0.75 Bohr magnetons per cell
- D(E_F): 2.512 states/eV per atom
- DFT total energy: -161.0 eV per cell

=====

VASP calculation (PBE-GGA) on a geometry-optimized GdPaInSn structure.

Unit cell a=7.5596 b=7.5596 c=7.5596 alpha=90.00 beta=90.00 gamma=90.00
Last column: nearest neighbours and their distance in Å.
Space group F-43m (No. 216)
Asymmetric unit:
Gd (0.0000, 0.0000, 0.0000) (multiplicity 4)  4 In 3.27, 4 Sn 3.27
Pa (0.0000, 0.0000, 0.5000) (multiplicity 4)  4 Sn 3.27, 4 In 3.27
In (0.2500, 0.2500, 0.2500) (multiplicity 4)  4 Gd 3.27, 4 Pa 3.27
Sn (0.2500, 0.2500, 0.7500) (multiplicity 4)  4 Gd 3.27, 4 Pa 3.27

Results
- Spin magnetization: 36.61 Bohr magnetons per cell
- D(E_F): 2.159 states/eV per atom
- DFT total energy: -124.5 eV per cell

=====

VASP calculation (PBE-GGA) on a geometry-optimized TbGdPaIn structure.

Unit cell a=7.5805 b=7.5805 c=7.5805 alpha=90.00 beta=90.00 gamma=90.00
Last column: nearest neighbours and their distance in Å.
Space group F-43m (No. 216)
Asymmetric unit:
Tb (0.0000, 0.0000, 0.0000) (multiplicity 4)  4 Pa 3.28, 4 In 3.28
Gd (0.0000, 0.0000, 0.5000) (multiplicity 4)  4 In 3.28, 4 Pa 3.28
Pa (0.2500, 0.2500, 0.7500) (multiplicity 4)  4 Gd 3.28, 4 Tb 3.28
In (0.2500, 0.2500, 0.2500) (multiplicity 4)  4 Tb 3.28, 4 Gd 3.28

Results
- Spin magnetization: 30.97 Bohr magnetons per cell
- D(E_F): 1.577 states/eV per atom
- DFT total energy: -121.8 eV per cell

=====

VASP calculation (PBE-GGA) on a geometry-optimized GdPaInTc structure.

Unit cell a=7.2081 b=7.2081 c=7.2081 alpha=90.00 beta=90.00 gamma=90.00
Last column: nearest neighbours and their distance in Å.
Space group F-43m (No. 216)
Asymmetric unit:
Gd (0.0000, 0.0000, 0.0000) (multiplicity 4)  4 In 3.12, 4 Tc 3.12
Pa (0.0000, 0.0000, 0.5000) (multiplicity 4)  4 In 3.12, 4 Tc 3.12
In (0.2500, 0.2500, 0.2500) (multiplicity 4)  4 Gd 3.12, 4 Pa 3.12
Tc (0.2500, 0.2500, 0.7500) (multiplicity 4)  4 Gd 3.12, 4 Pa 3.12

Results
- Spin magnetization: 28.40 Bohr magnetons per cell
- D(E_F): 0.999 states/eV per atom
- DFT total energy: -146.1 eV per cell

=====

VASP calculation (PBE-GGA) on a geometry-optimized GdThPaIn structure.

Unit cell a=7.6623 b=7.6623 c=7.6623 alpha=90.00 beta=90.00 gamma=90.00
Last column: nearest neighbours and their distance in Å.
Space group F-43m (No. 216)
Asymmetric unit:
Gd (0.0000, 0.0000, 0.0000) (multiplicity 4)  4 Pa 3.32, 4 In 3.32
Th (0.0000, 0.0000, 0.5000) (multiplicity 4)  4 In 3.32, 4 Pa 3.32
Pa (0.2500, 0.2500, 0.2500) (multiplicity 4)  4 Gd 3.32, 4 Th 3.32
In (0.2500, 0.2500, 0.7500) (multiplicity 4)  4 Gd 3.32, 4 Th 3.32

Results
- Spin magnetization: 33.44 Bohr magnetons per cell
- D(E_F): 1.589 states/eV per atom
- DFT total energy: -133.1 eV per cell

=====

VASP calculation (PBE-GGA) on a geometry-optimized GdPaZnIn structure.

Unit cell a=7.3794 b=7.3794 c=7.3794 alpha=90.00 beta=90.00 gamma=90.00
Last column: nearest neighbours and their distance in Å.
Space group F-43m (No. 216)
Asymmetric unit:
Gd (0.0000, 0.0000, 0.0000) (multiplicity 4)  4 In 3.20, 4 Zn 3.20
Pa (0.0000, 0.0000, 0.5000) (multiplicity 4)  4 Zn 3.20, 4 In 3.20
Zn (0.2500, 0.2500, 0.7500) (multiplicity 4)  4 Gd 3.20, 4 Pa 3.20
In (0.2500, 0.2500, 0.2500) (multiplicity 4)  4 Pa 3.20, 4 Gd 3.20

Results
- Spin magnetization: 32.53 Bohr magnetons per cell
- D(E_F): 2.094 states/eV per atom
- DFT total energy: -110.8 eV per cell

=====

VASP calculation (PBE-GGA) on a geometry-optimized GdInPb2 structure.

Unit cell a=4.1021 b=4.1021 c=6.8263 alpha=90.00 beta=90.00 gamma=90.00
Last column: nearest neighbours and their distance in Å.
Space group P4/mmm (No. 123)
Asymmetric unit:
Gd (0.0000, 0.0000, 0.0000) (multiplicity 1)  8 Pb 3.40, 2 In 3.41
In (0.0000, 0.0000, 0.5000) (multiplicity 1)  8 Pb 3.34, 2 Gd 3.41
Pb (0.5000, 0.5000, 0.2585) (multiplicity 2)  2 Pb 3.30-3.53, 4 In 3.34, 4 Gd 3.40

Results
- Spin magnetization: 7.51 Bohr magnetons per cell
- D(E_F): 0.941 states/eV per atom
- DFT total energy: -25.1 eV per cell

=====

VASP calculation (PBE-GGA) on a geometry-optimized GdInPb2 structure.

Unit cell a=4.8409 b=4.8409 c=4.7729 alpha=90.00 beta=90.00 gamma=90.00
Last column: nearest neighbours and their distance in Å.
Space group P4/mmm (No. 123)
Asymmetric unit:
Gd (0.0000, 0.0000, 0.0000) (multiplicity 1)  8 Pb 3.40, 4 In 3.42
In (0.5000, 0.5000, 0.0000) (multiplicity 1)  8 Pb 3.40, 4 Gd 3.42
Pb (0.0000, 0.5000, 0.5000) (multiplicity 2)  4 Gd 3.40, 4 In 3.40, 4 Pb 3.42

Results
- Spin magnetization: 6.95 Bohr magnetons per cell
- D(E_F): 0.594 states/eV per atom
- DFT total energy: -25.6 eV per cell